# Li2CoSnO4

A relaxed Li2CoSnO4 crystal (GGA+U, Alexandria via LeMat-Bulk).

As for the space group: P2/m. The raw total energy comes out at -5.746 eV/atom. For the energy above the most stable polymorph in this dataset, the calculation gives 0.0 meV/atom. The size of the total moment comes out at 2.99 μB per formula unit. The density of states at the Fermi level comes out at 0.0 states/eV/cell.

abc: 3.0918 5.2741 5.3636
angles: 109.90 90.00 90.00
Positions (direct):
O1 0.0000 0.2577 0.7636
O2 0.5000 0.7242 0.7501
Li1 0.0000 0.0000 0.0000
O3 0.0000 0.7423 0.2364
O4 0.5000 0.2758 0.2499
Sn1 0.5000 0.5000 0.0000
Co1 0.0000 0.5000 0.5000
Li2 0.5000 0.0000 0.5000